First-principles (PBE-GGA) data for crystalline ZrCrB2 at its relaxed geometry, as listed in the Alexandria database.

Structure (POSCAR):
```
ZrCrB2
1.0
3.316 0.000 0.000
1.658 2.872 0.000
1.658 0.957 4.861
Zr B Cr
1 2 1
Direct
0.500 0.500 0.500 Zr
0.729 0.729 0.812 B
0.271 0.271 0.188 B
0.000 0.000 0.000 Cr
```

For the energy of formation from the pure elements, the calculation gives -251 meV per atom. The value obtained for the density of states at the Fermi level is 1.44 states/eV/f.u. The offset from the most stable computed form is 0 meV/atom.